Y8Tl (GGA-PBEsol, relaxed); ρ = 5.75 g cm⁻³; density of states at the Fermi level = 14.4 states/eV/f.u.; energy relative to the elements = -0.575 eV/f.u.; space-group type = I4/mmm (139)
1.0
-5.261 5.261 2.390
5.261 -5.261 2.390
5.261 5.261 -2.390
Y Tl
8 1
Direct
0.000 0.335 0.335 Y
0.000 0.665 0.665 Y
0.335 0.000 0.335 Y
0.339 0.339 0.679 Y
0.339 0.661 0.000 Y
0.661 0.339 0.000 Y
0.661 0.661 0.321 Y
0.665 0.000 0.665 Y
0.000 0.000 0.000 Tl